The following is a PBE-GGA calculation of a geometry-optimized SrMg2CdF8 structure, from Alexandria via LeMat-Bulk.

abc: 5.0794 6.7201 5.0981
angles: 90.00 90.81 90.00
Last column: nearest neighbours and their distance in Å.
Space group P2/m (No. 10)
Unique sites:
1 Sr 0.0000 0.0000 0.0000 (multiplicity 1)  6 F 2.38-2.39
2 Mg 0.5000 0.2558 0.5000 (multiplicity 2)  6 F 1.98-2.11
3 Cd 0.0000 0.5000 0.0000 (multiplicity 1)  6 F 2.25-2.31
4 F 0.2221 0.2639 0.2240 (multiplicity 4)  1 Mg 1.98
5 F 0.3187 0.5000 0.6822 (multiplicity 2)  2 Mg 2.10, 1 Cd 2.31
6 F 0.3308 0.0000 0.6705 (multiplicity 2)  2 Mg 2.11

## Properties
* VASP energy: -59.6 eV for the cell shown
* calculated volume: 174.00 Å³/cell
* magnetic moment: 0.00 μB/atom


The following is a PBE-GGA calculation of a geometry-optimized NdDy6Tm structure, from Alexandria via LeMat-Bulk.

abc: 6.5352 6.7177 6.9270
angles: 118.25 104.01 90.20
Last column: nearest neighbours and their distance in Å.
Space group P-1 (No. 2)
Unique sites:
1 Nd 0.0000 0.0000 0.0000 (multiplicity 1)  2 Tm 3.27, 4 Dy 3.40-3.48
2 Dy 0.2323 0.5779 0.4839 (multiplicity 2)  6 Dy 3.28-3.67, 1 Tm 3.35
3 Dy 0.2532 0.5467 0.0026 (multiplicity 2)  5 Dy 3.28-3.67, 1 Tm 3.45, 1 Nd 3.48
4 Dy 0.2731 0.0968 0.5284 (multiplicity 2)  5 Dy 3.28-3.66, 1 Nd 3.40, 1 Tm 3.60
5 Tm 0.5000 0.0000 0.0000 (multiplicity 1)  2 Nd 3.27, 6 Dy 3.35-3.60

## Properties
* calculated volume: 257.43 Å³/cell
* DFT formation energy: 0.205 eV per atom
* ΔE to the lowest computed polymorph: 181.3 meV/atom
* magnetic moment: 0.00 μB/atom


The following is a PBE-GGA calculation of a geometry-optimized In2BO structure, from Alexandria via LeMat-Bulk.

abc: 6.2048 6.2048 6.2048
angles: 90.00 90.00 90.00
Last column: nearest neighbours and their distance in Å.
Space group Fm-3m (No. 225)
Unique sites:
1 In 0.2500 0.2500 0.2500 (multiplicity 8)  4 O 2.69, 4 B 2.69
2 B 0.0000 0.0000 0.0000 (multiplicity 4)  8 In 2.69
3 O 0.0000 0.0000 0.5000 (multiplicity 4)  8 In 2.69

## Properties
* calculated volume: 238.88 Å³/cell
* ΔE to the lowest computed polymorph: 674.2 meV/atom
* magnetic moment: 0.20 μB/atom


The following is a PBE-GGA calculation of a geometry-optimized CrWSe3 structure, from Alexandria via LeMat-Bulk.

abc: 3.4006 23.7271 5.8881
angles: 90.00 90.00 90.00
Last column: nearest neighbours and their distance in Å.
Space group Ama2 (No. 40)
Unique sites:
1 Cr 0.2500 0.1366 0.0000 (multiplicity 4)  4 Se 2.31-2.39
2 W 0.2500 0.3259 0.1923 (multiplicity 4)  6 Se 2.52-2.79, 2 Cr 2.64
3 Se 0.2500 0.1365 0.3917 (multiplicity 4)  1 Cr 2.31
4 Se 0.2500 0.2333 0.9003 (multiplicity 4)  1 Cr 2.37, 2 W 2.52
5 Se 0.2500 0.4242 0.3547 (multiplicity 4)  2 Cr 2.39, 1 W 2.52

## Properties
* calculated volume: 475.09 Å³/cell
* ΔE to the lowest computed polymorph: 0.0 meV/atom
* magnetic moment: 0.00 μB/atom


The following is a PBE-GGA calculation of a geometry-optimized PuPaHgO6 structure, from Alexandria via LeMat-Bulk.

abc: 5.9341 5.9341 9.4103
angles: 90.00 90.00 120.00
Last column: nearest neighbours and their distance in Å.
Space group P-31c (No. 163)
Unique sites:
1 Pu 0.3333 0.6667 0.2500 (multiplicity 2)  6 O 2.14
2 Pa 0.3333 0.6667 0.7500 (multiplicity 2)  6 O 2.19
3 Hg 0.0000 0.0000 0.0000 (multiplicity 2)  6 O 2.51
4 O 0.0065 0.3647 0.1394 (multiplicity 12)  1 Pu 2.14, 1 Pa 2.19

## Properties
* VASP energy: -150.8 eV for the cell shown
* calculated volume: 286.97 Å³/cell
* magnetic moment: 0.33 μB/atom


The following is a PBE-GGA calculation of a geometry-optimized CaNb structure, from Alexandria via LeMat-Bulk.

abc: 6.1976 6.1976 6.3495
angles: 90.00 90.00 90.00
Last column: nearest neighbours and their distance in Å.
Space group P4_2/mnm (No. 136)
Unique sites:
1 Ca 0.1716 0.1716 0.0000 (multiplicity 4)  1 Ca 3.01, 4 Nb 3.09-3.20
2 Nb 0.1288 0.1288 0.5000 (multiplicity 4)  1 Nb 2.26

## Properties
* calculated volume: 243.89 Å³/cell
* DFT formation energy: 1.155 eV per atom
* ΔE to the lowest computed polymorph: 879.7 meV/atom
* magnetic moment: 0.00 μB/atom


The following is a PBE-GGA calculation of a geometry-optimized MnW structure, from Alexandria via LeMat-Bulk.

abc: 7.6237 7.6237 7.6237
angles: 90.00 90.00 90.00
Last column: nearest neighbours and their distance in Å.
Space group I-43m (No. 217)
Unique sites:
1 Mn 0.1764 0.1764 0.1764 (multiplicity 8)  4 W 2.40-2.53
2 W 0.1318 0.1318 0.8682 (multiplicity 8)  4 Mn 2.40-2.53

## Properties
* calculated volume: 443.10 Å³/cell
* DFT formation energy: 2.107 eV per atom
* magnetic moment: 0.77 μB/atom


The following is a PBE-GGA calculation of a geometry-optimized LaBe2Pd5 structure, from Alexandria via LeMat-Bulk.

abc: 3.9517 6.5166 9.8908
angles: 90.00 90.00 90.00
Last column: nearest neighbours and their distance in Å.
Space group Immm (No. 71)
Unique sites:
1 La 0.0000 0.0000 0.0000 (multiplicity 2)  10 Pd 3.13-3.26, 4 Be 3.37
2 Be 0.0000 0.5000 0.2237 (multiplicity 4)  3 Pd 2.21-2.27
3 Pd 0.0000 0.2073 0.3489 (multiplicity 8)  3 Be 2.27-2.50
4 Pd 0.0000 0.5000 0.0000 (multiplicity 2)  2 Be 2.21

## Properties
* calculated volume: 254.71 Å³/cell
* DFT formation energy: -0.643 eV per atom
* magnetic moment: 0.00 μB/atom


The following is a PBE-GGA calculation of a geometry-optimized Cd3Hg3Bi2Pb2 structure, from Alexandria via LeMat-Bulk.

abc: 4.5739 4.5739 32.2784
angles: 90.00 90.00 90.00
Last column: nearest neighbours and their distance in Å.
Space group I4/mmm (No. 139)
Unique sites:
1 Cd 0.0000 0.0000 0.0000 (multiplicity 2)  4 Hg 3.23
2 Cd 0.0000 0.0000 0.4137 (multiplicity 4)  1 Hg 2.79, 1 Bi 2.94
3 Hg 0.0000 0.0000 0.1123 (multiplicity 4)  5 Cd 3.34-3.63
4 Hg 0.0000 0.0000 0.5000 (multiplicity 2)  2 Cd 2.79
5 Bi 0.0000 0.0000 0.3227 (multiplicity 4)  1 Cd 2.94, 4 Pb 3.28
6 Pb 0.0000 0.5000 0.2500 (multiplicity 4)  4 Pb 3.23, 4 Bi 3.28

## Properties
* calculated volume: 675.29 Å³/cell
* DFT formation energy: 0.165 eV per atom
* magnetic moment: 0.00 μB/atom


The following is a PBE-GGA calculation of a geometry-optimized Pd2Pb2W structure, from Alexandria via LeMat-Bulk.

abc: 7.8043 7.8043 3.2601
angles: 90.00 90.00 90.00
Last column: nearest neighbours and their distance in Å.
Space group P4/mbm (No. 127)
Unique sites:
1 Pd 0.1277 0.3723 0.0000 (multiplicity 4)  6 Pb 2.73-2.88, 1 Pd 2.82
2 Pb 0.1734 0.6734 0.5000 (multiplicity 4)  6 Pd 2.73-2.88
3 W 0.0000 0.0000 0.0000 (multiplicity 2)  4 Pd 3.07, 2 W 3.26, 8 Pb 3.31

## Properties
* calculated volume: 198.56 Å³/cell
* DFT formation energy: 0.577 eV per atom
* ΔE to the lowest computed polymorph: 0.0 meV/atom
* magnetic moment: 0.24 μB/atom


The following is a PBE-GGA calculation of a geometry-optimized NaGa2Au6 structure, from Alexandria via LeMat-Bulk.

abc: 4.8963 4.8963 9.9945
angles: 90.00 90.00 120.00
Last column: nearest neighbours and their distance in Å.
Space group P-31m (No. 162)
Unique sites:
1 Na 0.0000 0.0000 0.0000 (multiplicity 1)  6 Au 3.08
2 Ga 0.3333 0.6667 0.5000 (multiplicity 2)  3 Ga 2.83, 6 Au 2.89
3 Au 0.0000 0.3318 0.7381 (multiplicity 6)  6 Au 2.81-2.83, 2 Ga 2.89, 1 Na 3.08

## Properties
* calculated volume: 207.51 Å³/cell
* DFT formation energy: -0.068 eV per atom
* ΔE to the lowest computed polymorph: 97.3 meV/atom
* magnetic moment: 0.00 μB/atom


The following is a PBE-GGA calculation of a geometry-optimized KTaAs2 structure, from Alexandria via LeMat-Bulk.

abc: 3.3402 3.5505 16.3831
angles: 90.00 90.00 90.00
Last column: nearest neighbours and their distance in Å.
Space group Imm2 (No. 44)
Unique sites:
1 K 0.0000 0.0000 0.0000 (multiplicity 2)  6 As 3.29-3.37, 4 K 3.34-3.55
2 Ta 0.0000 0.5000 0.7445 (multiplicity 2)  6 As 2.58-2.69
3 As 0.0000 0.0000 0.3648 (multiplicity 2)  2 Ta 2.58
4 As 0.0000 0.5000 0.1748 (multiplicity 2)  4 Ta 2.69

## Properties
* calculated volume: 194.29 Å³/cell
* DFT formation energy: -0.270 eV per atom
* ΔE to the lowest computed polymorph: 119.5 meV/atom
* magnetic moment: 0.00 μB/atom